Computed, not measured: a relaxed structure of Er7Zn2Ag2 at the GGA-PBE level of DFT.

abc: 7.465 10.741 7.506
angles: 90.00 90.00 90.00
Space group Cmmm (No. 65)
Symmetry-distinct sites (fractional):
Er 0.000 0.000 0.000
Er 0.000 0.500 0.272
Er 0.250 0.250 0.285
Zn 0.168 0.000 0.500
Ag 0.000 0.297 0.000

Computed properties:
Energy of formation from the pure elements ... 0.05 eV per atom
Calculated total energy ... -3.606 eV per atom